The following is a PBE calculation of a relaxed HfNbF3 crystal, from the Alexandria database.

Lattice parameters (Å, degrees): 4.3760 4.3760 4.3760 90.00 90.00 90.00
Site moments in Bohr magnetons follow the coordinates.
Fractional coordinates of all 5 atoms:
F 0.0000 0.5000 0.0000  0.10
F 0.0000 0.0000 0.5000  0.05
F 0.5000 0.0000 0.0000  0.14
Nb 0.0000 0.0000 0.0000  2.10
Hf 0.5000 0.5000 0.5000  1.36

Properties
SG: Pm-3m, No. 221
Calculated total energy, eV per formula unit: -30.44
Offset from the most stable computed form, eV/atom: 0.381
Total magnetization, μB per atom: 0.984
D(E_F), states/eV/atom: 0.5285

=====

The following is a PBE calculation of a relaxed SrAl3Tc crystal, from the Alexandria database.

Lattice parameters (Å, degrees): 15.0660 8.9480 8.9480 103.93 137.34 42.66
Fractional coordinates of all 20 atoms:
Al 0.9941 0.9297 0.1028
Al 0.0008 0.4206 0.3486
Al 0.5059 0.6028 0.4297
Al 0.4996 0.4659 0.1349
Al 0.0059 0.0703 0.8972
Al 0.4992 0.8486 0.9206
Al 0.0004 0.6349 0.9659
Al 0.5008 0.1514 0.0794
Al 0.5004 0.5341 0.8651
Al 0.9996 0.3651 0.0341
Al 0.4941 0.3972 0.5703
Al 0.9992 0.5794 0.6514
Tc 0.7500 0.4351 0.9351
Tc 0.2500 0.9345 0.4345
Tc 0.7500 0.0655 0.5655
Tc 0.2500 0.5649 0.0649
Sr 0.0016 0.8067 0.4295
Sr 0.4984 0.9295 0.3067
Sr 0.9984 0.1933 0.5705
Sr 0.5016 0.0705 0.6933

Properties
SG: C2/c, No. 15
Calculated total energy, eV per formula unit: -23.98
Offset from the most stable computed form, eV/atom: 0.181
DFT formation energy, eV per atom: -0.1411
Total magnetization, μB per atom: 0.000
D(E_F), states/eV/atom: 0.4839

=====

The following is a PBE calculation of a relaxed RbThS3 crystal, from the Alexandria database.

Lattice parameters (Å, degrees): 4.2766 8.9709 10.6389 125.29 90.00 103.79
Fractional coordinates of all 10 atoms:
S 0.0253 0.0506 0.4329
S 0.3548 0.7096 0.0823
S 0.2518 0.5036 0.2964
S 0.6452 0.2904 0.9177
S 0.7482 0.4964 0.7036
S 0.9747 0.9494 0.5671
Th 0.1815 0.3629 0.7811
Th 0.8185 0.6371 0.2189
Rb 0.6019 0.2037 0.2986
Rb 0.3981 0.7963 0.7014

Properties
SG: C2/m, No. 12
Calculated total energy, eV per formula unit: -28.61
Offset from the most stable computed form, eV/atom: 0.000
Total magnetization, μB per atom: 0.000
D(E_F), states/eV/atom: 0.0000

=====

The following is a PBE calculation of a relaxed KCaAcTl crystal, from the Alexandria database.

Lattice parameters (Å, degrees): 5.9429 5.9429 5.9429 60.00 60.00 60.00
Fractional coordinates of all 4 atoms:
Tl 0.2500 0.2500 0.2500
Ca 0.0000 0.0000 0.0000
Ac 0.5000 0.5000 0.5000
K 0.7500 0.7500 0.7500

Properties
SG: F-43m, No. 216
Calculated total energy, eV per formula unit: -9.41
DFT formation energy, eV per atom: 0.0415
Total magnetization, μB per atom: 0.000
D(E_F), states/eV/atom: 0.8400

=====

The following is a PBE calculation of a relaxed InPt crystal, from the Alexandria database.

Lattice parameters (Å, degrees): 7.4725 7.4725 7.4725 90.00 90.00 90.00
Fractional coordinates of all 12 atoms:
In 0.0000 0.7500 0.5000
In 0.5000 0.0000 0.7500
In 0.0000 0.2500 0.5000
In 0.7500 0.5000 0.0000
In 0.2500 0.5000 0.0000
In 0.5000 0.0000 0.2500
Pt 0.0000 0.5000 0.7500
Pt 0.5000 0.7500 0.0000
Pt 0.0000 0.5000 0.2500
Pt 0.5000 0.2500 0.0000
Pt 0.2500 0.0000 0.5000
Pt 0.7500 0.0000 0.5000

Properties
SG: Pm-3n, No. 223
Calculated total energy, eV per formula unit: -8.46
DFT formation energy, eV per atom: 0.1620
Total magnetization, μB per atom: 0.000
D(E_F), states/eV/atom: 0.6040

=====

The following is a PBE calculation of a relaxed AcMgSc crystal, from the Alexandria database.

Lattice parameters (Å, degrees): 3.6329 5.4700 5.4700 120.00 90.00 90.00
Fractional coordinates of all 3 atoms:
Ac 0.6670 0.6667 0.3333
Sc 0.1682 0.3333 0.6667
Mg 0.1649 0.0000 0.0000

Properties
SG: P3m1, No. 156
Calculated total energy, eV per formula unit: -11.71
Offset from the most stable computed form, eV/atom: 0.069
DFT formation energy, eV per atom: 0.1078
Total magnetization, μB per atom: 0.000
D(E_F), states/eV/atom: 1.5225

=====

The following is a PBE calculation of a relaxed LiCa2Sn2 crystal, from the Alexandria database.

Lattice parameters (Å, degrees): 9.4097 9.4097 3.3668 90.00 90.00 90.00
Fractional coordinates of all 10 atoms:
Ca 0.1253 0.3747 0.0000
Ca 0.3747 0.8747 0.0000
Ca 0.8747 0.6253 0.0000
Ca 0.6253 0.1253 0.0000
Sn 0.6754 0.8246 0.5000
Sn 0.1754 0.6754 0.5000
Sn 0.8246 0.3246 0.5000
Sn 0.3246 0.1754 0.5000
Li 0.5000 0.5000 0.0000
Li 0.0000 0.0000 0.0000

Properties
SG: P4/mbm, No. 127
Calculated total energy, eV per formula unit: -15.80
Offset from the most stable computed form, eV/atom: 0.211
DFT formation energy, eV per atom: -0.3762
Total magnetization, μB per atom: 0.000
D(E_F), states/eV/atom: 0.7729

=====

The following is a PBE calculation of a relaxed RbHf3Tl crystal, from the Alexandria database.

Lattice parameters (Å, degrees): 5.5207 5.5207 5.5207 90.00 90.00 90.00
Site moments in Bohr magnetons follow the coordinates.
Fractional coordinates of all 5 atoms:
Hf 0.0000 0.5000 0.0000  0.39
Hf 0.0000 0.0000 0.5000  0.48
Hf 0.5000 0.0000 0.0000  0.32
Rb 0.5000 0.5000 0.5000  0.03
Tl 0.0000 0.0000 0.0000  0.05

Properties
SG: Pm-3m, No. 221
Calculated total energy, eV per formula unit: -25.44
Offset from the most stable computed form, eV/atom: 0.000
DFT formation energy, eV per atom: 1.5504
Total magnetization, μB per atom: 0.440
D(E_F), states/eV/atom: 1.8701

=====

The following is a PBE calculation of a relaxed SrTlCd2 crystal, from the Alexandria database.

Lattice parameters (Å, degrees): 4.8636 4.8636 11.6026 77.90 77.90 90.00
Fractional coordinates of all 8 atoms:
Cd 0.8750 0.9332 0.7500
Cd 0.3750 0.3168 0.7500
Cd 0.0668 0.6250 0.2500
Cd 0.6832 0.1250 0.2500
Tl 0.7500 0.2500 0.5000
Tl 0.0000 0.0000 0.0000
Sr 0.2500 0.7500 0.5000
Sr 0.5000 0.5000 0.0000

Properties
SG: I-42d, No. 122
Calculated total energy, eV per formula unit: -6.13
DFT formation energy, eV per atom: -0.0618
Total magnetization, μB per atom: 0.000
D(E_F), states/eV/atom: 0.6475

=====

The following is a PBE calculation of a relaxed Sr3Zn8Ga crystal, from the Alexandria database.

Lattice parameters (Å, degrees): 5.7053 5.7053 9.7938 73.07 73.07 60.00
Fractional coordinates of all 12 atoms:
Zn 0.4363 0.4363 0.1884
Zn 0.6865 0.6865 0.9404
Zn 0.9394 0.9394 0.6798
Zn 0.4363 0.9391 0.1884
Zn 0.4414 0.9394 0.6798
Zn 0.9391 0.4363 0.1884
Zn 0.1893 0.1893 0.4322
Zn 0.9394 0.4414 0.6798
Sr 0.5051 0.5051 0.4847
Sr 0.3768 0.3768 0.8695
Sr 0.9919 0.9919 0.0243
Ga 0.8686 0.8686 0.3943

Properties
SG: R3m, No. 160
Calculated total energy, eV per formula unit: -19.92
DFT formation energy, eV per atom: -0.1377
Total magnetization, μB per atom: 0.000
D(E_F), states/eV/atom: 0.4406

=====

The following is a PBE calculation of a relaxed Ac3SmPb4 crystal, from the Alexandria database.

Lattice parameters (Å, degrees): 6.1230 6.1231 8.5106 111.08 111.08 90.00
Site moments in Bohr magnetons follow the coordinates.
Fractional coordinates of all 8 atoms:
Pb 0.1177 0.1178 0.2354  0.01
Pb 0.3823 0.3826 0.7646  0.01
Pb 0.8823 0.8822 0.7646  0.01
Pb 0.6177 0.6174 0.2354  0.01
Sm 0.5000 0.0000 0.0000  0.25
Ac 0.0000 0.5000 0.0000  0.06
Ac 0.2576 0.7579 0.5152  0.10
Ac 0.7424 0.2421 0.4848  0.10

Properties
SG: I4/mmm, No. 139
Calculated total energy, eV per formula unit: -35.60
DFT formation energy, eV per atom: -0.4651
Total magnetization, μB per atom: 0.145
D(E_F), states/eV/atom: 0.8803

=====

The following is a PBE calculation of a relaxed CoSiRh crystal, from the Alexandria database.

Lattice parameters (Å, degrees): 4.9995 4.9997 2.8207 73.61 73.62 32.77
Site moments in Bohr magnetons follow the coordinates.
Fractional coordinates of all 3 atoms:
Co 0.0223 0.0223 0.9777  0.91
Si 0.6586 0.6586 0.3414  -0.02
Rh 0.3191 0.3191 0.6809  0.20

Properties
SG: I4mm, No. 107
Calculated total energy, eV per formula unit: -21.21
Total magnetization, μB per atom: 0.352
D(E_F), states/eV/atom: 1.0108

=====

The following is a PBE calculation of a relaxed Pm2EuIn crystal, from the Alexandria database.

Lattice parameters (Å, degrees): 3.7527 3.7527 9.3936 90.00 90.00 90.00
Site moments in Bohr magnetons follow the coordinates.
Fractional coordinates of all 4 atoms:
Pm 0.0000 0.0000 0.2141  0.13
Pm 0.0000 0.0000 0.7859  0.13
Eu 0.5000 0.5000 0.5000  7.00
In 0.5000 0.5000 0.0000  -0.01

Properties
SG: P4/mmm, No. 123
Calculated total energy, eV per formula unit: -23.26
Offset from the most stable computed form, eV/atom: 0.045
DFT formation energy, eV per atom: -0.1859
Total magnetization, μB per atom: 2.017
D(E_F), states/eV/atom: 1.1663

=====

The following is a PBE calculation of a relaxed ZrMnCoSi2 crystal, from the Alexandria database.

Lattice parameters (Å, degrees): 3.8597 3.8597 5.4339 110.80 110.80 90.00
Fractional coordinates of all 5 atoms:
Zr 0.0000 0.0000 0.0000
Mn 0.2500 0.7500 0.5000
Si 0.6270 0.6270 0.2541
Si 0.3730 0.3730 0.7459
Co 0.7500 0.2500 0.5000

Properties
SG: I-4m2, No. 119
Calculated total energy, eV per formula unit: -38.88
Total magnetization, μB per atom: 0.000
D(E_F), states/eV/atom: 0.8425

=====

The following is a PBE calculation of a relaxed Dy2Er4Cd crystal, from the Alexandria database.

Lattice parameters (Å, degrees): 3.4644 8.3942 8.3492 116.63 101.97 90.00
Fractional coordinates of all 7 atoms:
Er 0.6310 0.3946 0.2619
Er 0.9199 0.2981 0.8399
Er 0.0801 0.7019 0.1601
Er 0.3690 0.6054 0.7381
Dy 0.2185 0.1414 0.4370
Dy 0.7815 0.8586 0.5630
Cd 0.0000 0.0000 0.0000

Properties
SG: C2/m, No. 12
Calculated total energy, eV per formula unit: -28.04
DFT formation energy, eV per atom: 0.0470
Total magnetization, μB per atom: 0.000
D(E_F), states/eV/atom: 1.4023

=====

The following is a PBE calculation of a relaxed Ba3Ag2Sn2 crystal, from the Alexandria database.

Lattice parameters (Å, degrees): 5.0913 6.7815 8.4381 108.06 90.00 112.05
Fractional coordinates of all 7 atoms:
Sn 0.0279 0.0558 0.3418
Sn 0.9721 0.9442 0.6582
Ba 0.3229 0.6459 0.3579
Ba 0.6771 0.3541 0.6421
Ba 0.5000 0.0000 0.0000
Ag 0.8095 0.6190 0.0702
Ag 0.1905 0.3810 0.9298

Properties
SG: C2/m, No. 12
Calculated total energy, eV per formula unit: -22.82
DFT formation energy, eV per atom: -0.4771
Total magnetization, μB per atom: 0.000
D(E_F), states/eV/atom: 0.7439